A plane-wave DFT calculation with PBE was carried out for crystalline Ca2InGa2Ni5 at its relaxed geometry.

Its formation energy from the elements is -0.2504 eV per atom.

It has space group P4/mbm (No. 127), with a = 9.6525 Å, b = 9.6525 Å, c = 3.4937 Å, α = 90.00°, β = 90.00° and γ = 90.00°. The distinct sites, in fractional coordinates, are Ca at (0.1784, 0.3216, 0.0000), In at (0.0000, 0.0000, 0.0000), Ga at (0.1181, 0.6181, 0.0000), Ni at (0.0000, 0.5000, 0.5000) and Ni at (0.0623, 0.7857, 0.5000).

A plane-wave DFT calculation with PBE was carried out for crystalline CaInGa2Ni at its relaxed geometry.

Its formation energy from the elements is -0.2556 eV per atom.

It has space group P4/mmm (No. 123), with a = 4.6479 Å, b = 4.6479 Å, c = 4.9856 Å, α = 90.00°, β = 90.00° and γ = 90.00°. The distinct sites, in fractional coordinates, are Ca at (0.0000, 0.0000, 0.0000), In at (0.5000, 0.5000, 0.0000), Ga at (0.0000, 0.5000, 0.5000) and Ni at (0.5000, 0.5000, 0.5000).

A plane-wave DFT calculation with PBE was carried out for crystalline Ca2InGaO5 at its relaxed geometry.

For the raw formation energy, the calculation gives -2.293 eV/atom.

It has space group Cmc2_1 (No. 36), with a = 3.2563 Å, b = 13.5913 Å, c = 10.8581 Å, α = 90.00°, β = 90.00° and γ = 90.00°. The distinct sites, in fractional coordinates, are Ca at (0.0000, 0.1254, 0.0000), Ca at (0.0000, 0.1272, 0.5168), In at (0.0000, 0.2366, 0.2730), Ga at (0.0000, 0.4968, 0.7487), O at (0.0000, 0.0673, 0.2947), O at (0.0000, 0.2715, 0.6368), O at (0.0000, 0.2835, 0.9112), O at (0.0000, 0.3876, 0.3392) and O at (0.0000, 0.4908, 0.0776).

A plane-wave DFT calculation with PBE was carried out for crystalline CaInGaO4 at its relaxed geometry.

For the raw formation energy, the calculation gives -2.046 eV/atom.

It has space group Cmcm (No. 63), with a = 6.1922 Å, b = 9.7119 Å, c = 6.6500 Å, α = 90.00°, β = 90.00° and γ = 90.00°. The distinct sites, in fractional coordinates, are Ca at (0.0000, 0.0000, 0.0000), In at (0.0000, 0.3455, 0.2500), Ga at (0.0000, 0.3534, 0.7500), O at (0.0000, 0.2424, 0.5225) and O at (0.2268, 0.4868, 0.7500).

A plane-wave DFT calculation with PBE was carried out for crystalline CaPaInGa at its relaxed geometry.

Its formation energy from the elements is -0.0900 eV per atom.

It has space group F-43m (No. 216), with a = 7.4120 Å, b = 7.4120 Å, c = 7.4120 Å, α = 90.00°, β = 90.00° and γ = 90.00°. The distinct sites, in fractional coordinates, are Ca at (0.0000, 0.0000, 0.0000), Pa at (0.0000, 0.0000, 0.5000), In at (0.2500, 0.2500, 0.7500) and Ga at (0.2500, 0.2500, 0.2500).

A plane-wave DFT calculation with PBE was carried out for crystalline Ca2In6GaPd at its relaxed geometry.

Its formation energy from the elements is -0.2235 eV per atom.

It has space group R-3m (No. 166, hexagonal axes), with a = 7.2795 Å, b = 7.2795 Å, c = 35.6990 Å, α = 90.00°, β = 90.00° and γ = 120.00°. The distinct sites, in fractional coordinates, are Ca at (0.0000, 0.0000, 0.1030), Ca at (0.0000, 0.0000, 0.2816), In at (0.0498, 0.5249, 0.3009), In at (0.0618, 0.5309, 0.8657), Ga at (0.0000, 0.0000, 0.4273), Pd at (0.0000, 0.0000, 0.0000) and Pd at (0.0000, 0.0000, 0.5000).

A plane-wave DFT calculation with PBE was carried out for crystalline CaIn2GaPd4 at its relaxed geometry.

Its formation energy from the elements is -0.5999 eV per atom.

It has space group R-3m (No. 166, hexagonal axes), with a = 4.6843 Å, b = 4.6843 Å, c = 22.8653 Å, α = 90.00°, β = 90.00° and γ = 120.00°. The distinct sites, in fractional coordinates, are Ca at (0.0000, 0.0000, 0.0000), In at (0.0000, 0.0000, 0.2539), Ga at (0.0000, 0.0000, 0.5000), Pd at (0.0000, 0.0000, 0.1322) and Pd at (0.0000, 0.0000, 0.3906).

A plane-wave DFT calculation with PBE was carried out for crystalline Ca2InGaPd6 at its relaxed geometry.

Its formation energy from the elements is -0.2267 eV per atom.

It has space group Fm-3m (No. 225), with a = 9.6986 Å, b = 9.6986 Å, c = 9.6986 Å, α = 90.00°, β = 90.00° and γ = 90.00°. The distinct sites, in fractional coordinates, are Ca at (0.2500, 0.2500, 0.2500), In at (0.0000, 0.0000, 0.0000), Ga at (0.0000, 0.0000, 0.5000) and Pd at (0.0000, 0.0000, 0.2596).

A plane-wave DFT calculation with PBE was carried out for crystalline Ca2InGa4Pd3 at its relaxed geometry.

Its formation energy from the elements is -0.6233 eV per atom.

It has space group P-4m2 (No. 115), with a = 4.2228 Å, b = 4.2228 Å, c = 11.3116 Å, α = 90.00°, β = 90.00° and γ = 90.00°. The distinct sites, in fractional coordinates, are Ca at (0.0000, 0.5000, 0.2410), In at (0.0000, 0.0000, 0.5000), Ga at (0.0000, 0.0000, 0.0000), Ga at (0.0000, 0.5000, 0.6509), Ga at (0.5000, 0.5000, 0.0000), Pd at (0.0000, 0.5000, 0.8714) and Pd at (0.5000, 0.5000, 0.5000).

A plane-wave DFT calculation with PBE was carried out for crystalline CaPrInGa at its relaxed geometry.

The energy above the most stable polymorph in this dataset is 0 meV per atom. Its formation energy from the elements is -0.4834 eV per atom.

It has space group P4mm (No. 99), with a = 3.7543 Å, b = 3.7543 Å, c = 7.7377 Å, α = 90.00°, β = 90.00° and γ = 90.00°. The distinct sites, in fractional coordinates, are Ca at (0.0000, 0.0000, 0.0000), Pr at (0.0000, 0.0000, 0.5292), In at (0.5000, 0.5000, 0.2555) and Ga at (0.5000, 0.5000, 0.7685).

A plane-wave DFT calculation with PBE was carried out for crystalline CaPrInGa at its relaxed geometry.

The energy above the most stable polymorph in this dataset is 24 meV per atom. Its formation energy from the elements is -0.4591 eV per atom.

It has space group F-43m (No. 216), with a = 7.5956 Å, b = 7.5956 Å, c = 7.5956 Å, α = 90.00°, β = 90.00° and γ = 90.00°. The distinct sites, in fractional coordinates, are Ca at (0.0000, 0.0000, 0.0000), Pr at (0.0000, 0.0000, 0.5000), In at (0.2500, 0.2500, 0.2500) and Ga at (0.2500, 0.2500, 0.7500).

A plane-wave DFT calculation with PBE was carried out for crystalline Ca2InGa4Pt3 at its relaxed geometry.

Its formation energy from the elements is -0.7389 eV per atom.

It has space group P-4m2 (No. 115), with a = 4.2422 Å, b = 4.2422 Å, c = 11.1659 Å, α = 90.00°, β = 90.00° and γ = 90.00°. The distinct sites, in fractional coordinates, are Ca at (0.0000, 0.5000, 0.2414), In at (0.0000, 0.0000, 0.5000), Ga at (0.0000, 0.0000, 0.0000), Ga at (0.0000, 0.5000, 0.6486), Ga at (0.5000, 0.5000, 0.0000), Pt at (0.0000, 0.5000, 0.8714) and Pt at (0.5000, 0.5000, 0.5000).

A plane-wave DFT calculation with PBE was carried out for crystalline Ca2InGa3Pt4 at its relaxed geometry.

Its formation energy from the elements is -0.8225 eV per atom.

It has space group P-4m2 (No. 115), with a = 4.1916 Å, b = 4.1916 Å, c = 11.2879 Å, α = 90.00°, β = 90.00° and γ = 90.00°. The distinct sites, in fractional coordinates, are Ca at (0.0000, 0.5000, 0.2445), In at (0.0000, 0.0000, 0.5000), Ga at (0.0000, 0.5000, 0.8705), Ga at (0.5000, 0.5000, 0.5000), Pt at (0.0000, 0.0000, 0.0000), Pt at (0.0000, 0.5000, 0.6507) and Pt at (0.5000, 0.5000, 0.0000).

A plane-wave DFT calculation with PBE was carried out for crystalline CaPuInGa at its relaxed geometry.

Its formation energy from the elements is -0.2635 eV per atom.

It has space group F-43m (No. 216), with a = 7.4838 Å, b = 7.4838 Å, c = 7.4838 Å, α = 90.00°, β = 90.00° and γ = 90.00°. The distinct sites, in fractional coordinates, are Ca at (0.0000, 0.0000, 0.0000), Pu at (0.0000, 0.0000, 0.5000), In at (0.2500, 0.2500, 0.7500) and Ga at (0.2500, 0.2500, 0.2500).

A plane-wave DFT calculation with PBE was carried out for crystalline CaIn2GaRh2 at its relaxed geometry.

Its formation energy from the elements is -0.3753 eV per atom.

It has space group P4/mmm (No. 123), with a = 4.6830 Å, b = 4.6830 Å, c = 6.0431 Å, α = 90.00°, β = 90.00° and γ = 90.00°. The distinct sites, in fractional coordinates, are Ca at (0.0000, 0.0000, 0.0000), In at (0.5000, 0.5000, 0.2383), Ga at (0.0000, 0.0000, 0.5000) and Rh at (0.0000, 0.5000, 0.5000).

A plane-wave DFT calculation with PBE was carried out for crystalline Ca2InGa2Rh5 at its relaxed geometry.

Its formation energy from the elements is -0.5751 eV per atom.

It has space group P4/mbm (No. 127), with a = 10.2041 Å, b = 10.2041 Å, c = 3.3801 Å, α = 90.00°, β = 90.00° and γ = 90.00°. The distinct sites, in fractional coordinates, are Ca at (0.1738, 0.3262, 0.0000), In at (0.0000, 0.0000, 0.0000), Ga at (0.1262, 0.6262, 0.0000), Rh at (0.0000, 0.5000, 0.5000) and Rh at (0.0644, 0.7936, 0.5000).

A plane-wave DFT calculation with PBE was carried out for crystalline Ca2InGa3Rh4 at its relaxed geometry.

Its formation energy from the elements is -0.6380 eV per atom.

It has space group P-4m2 (No. 115), with a = 4.3428 Å, b = 4.3428 Å, c = 10.2533 Å, α = 90.00°, β = 90.00° and γ = 90.00°. The distinct sites, in fractional coordinates, are Ca at (0.0000, 0.5000, 0.2300), In at (0.0000, 0.0000, 0.5000), Ga at (0.0000, 0.5000, 0.8818), Ga at (0.5000, 0.5000, 0.5000), Rh at (0.0000, 0.0000, 0.0000), Rh at (0.0000, 0.5000, 0.6414) and Rh at (0.5000, 0.5000, 0.0000).

A plane-wave DFT calculation with PBE was carried out for crystalline Ca2InGaS5 at its relaxed geometry.

For the raw formation energy, the calculation gives -1.266 eV/atom.

It has space group Cmc2_1 (No. 36), with a = 3.7953 Å, b = 17.6563 Å, c = 11.8347 Å, α = 90.00°, β = 90.00° and γ = 90.00°. The distinct sites, in fractional coordinates, are Ca at (0.0000, 0.1075, 0.0000), Ca at (0.0000, 0.1203, 0.6397), In at (0.0000, 0.2206, 0.3614), Ga at (0.0000, 0.4406, 0.7739), S at (0.0000, 0.0447, 0.3847), S at (0.0000, 0.2812, 0.0134), S at (0.0000, 0.3155, 0.7134), S at (0.0000, 0.3616, 0.3274) and S at (0.0000, 0.4988, 0.6054).

A plane-wave DFT calculation with PBE was carried out for crystalline CaScInGa at its relaxed geometry.

The energy above the most stable polymorph in this dataset is 0 meV per atom. Its formation energy from the elements is -0.4718 eV per atom.

It has space group P4mm (No. 99), with a = 3.5600 Å, b = 3.5600 Å, c = 7.3943 Å, α = 90.00°, β = 90.00° and γ = 90.00°. The distinct sites, in fractional coordinates, are Ca at (0.0000, 0.0000, 0.0000), Sc at (0.0000, 0.0000, 0.5354), In at (0.5000, 0.5000, 0.2900) and Ga at (0.5000, 0.5000, 0.7388).

A plane-wave DFT calculation with PBE was carried out for crystalline CaScInGa at its relaxed geometry.

The energy above the most stable polymorph in this dataset is 75 meV per atom. Its formation energy from the elements is -0.3964 eV per atom.

It has space group F-43m (No. 216), with a = 7.2246 Å, b = 7.2246 Å, c = 7.2246 Å, α = 90.00°, β = 90.00° and γ = 90.00°. The distinct sites, in fractional coordinates, are Ca at (0.0000, 0.0000, 0.0000), Sc at (0.0000, 0.0000, 0.5000), In at (0.2500, 0.2500, 0.2500) and Ga at (0.2500, 0.2500, 0.7500).

Number 1: ρ 6.41 g/cm³. Number 2: ρ 5.44 g/cm³. Number 3: ρ 4.76 g/cm³. Number 4: ρ 4.79 g/cm³. Number 5: ρ 7.43 g/cm³. Number 6: ρ 5.75 g/cm³. Number 7: ρ 8.77 g/cm³. Number 8: ρ 6.58 g/cm³. Number 9: ρ 6.53 g/cm³. Number 10: ρ 5.57 g/cm³. Number 11: ρ 5.54 g/cm³. Number 12: ρ 8.75 g/cm³. Number 13: ρ 9.92 g/cm³. Number 14: ρ 7.43 g/cm³. Number 15: ρ 6.83 g/cm³. Number 16: ρ 8.01 g/cm³. Number 17: ρ 7.00 g/cm³. Number 18: ρ 3.56 g/cm³. Number 19: ρ 4.78 g/cm³. Number 20: ρ 4.75 g/cm³.